A relaxed structure of La6Ge2PbSe3, computed with PBE.

Total magnetic moment ... 0.0 Bohr magnetons per cell
N(E_F) ... 7.4 states/eV/cell
Final energy ... -5.80 eV/atom
Calculated volume ... 30.88 Å³/atom

Geometry as CIF:
```
data_La6Ge2PbSe3
_cell_length_a 19.3124
_cell_length_b 4.4208
_cell_length_c 8.9056
_cell_angle_alpha 90.00
_cell_angle_beta 102.89
_cell_angle_gamma 90.00
_symmetry_space_group_name_H-M 'C 1 2/m 1'
_symmetry_Int_Tables_number 12
_symmetry_space_group_name_Hall '-C 2y'
loop_
_atom_site_label
_atom_site_type_symbol
_atom_site_fract_x
_atom_site_fract_y
_atom_site_fract_z
_atom_site_occupancy
La1 La 0.0030 0.0000 0.2622 1
La2 La 0.1697 0.5000 0.5780 1
La3 La 0.1708 0.5000 0.0945 1
Ge1 Ge 0.1670 0.0000 0.3347 1
Pb1 Pb 0.0000 0.5000 0.0000 1
Se1 Se 0.0000 0.5000 0.5000 1
Se2 Se 0.1657 0.0000 0.8324 1
```


A relaxed structure of TmSc6Se8, computed with PBE.

Total magnetic moment ... 0.0 Bohr magnetons per cell
N(E_F) ... 29.8 states/eV/cell
Final energy ... -6.38 eV/atom
Calculated volume ... 21.85 Å³/atom

Geometry as CIF:
```
data_TmSc6Se8
_cell_length_a 10.9454
_cell_length_b 10.9454
_cell_length_c 10.9454
_cell_angle_alpha 90.00
_cell_angle_beta 90.00
_cell_angle_gamma 90.00
_symmetry_space_group_name_H-M 'F m -3 m'
_symmetry_Int_Tables_number 225
_symmetry_space_group_name_Hall '-F 4 2 3'
loop_
_atom_site_label
_atom_site_type_symbol
_atom_site_fract_x
_atom_site_fract_y
_atom_site_fract_z
_atom_site_occupancy
Tm1 Tm 0.0000 0.0000 0.0000 1
Sc1 Sc 0.0000 0.2500 0.2500 1
Se1 Se 0.0000 0.0000 0.2581 1
Se2 Se 0.2500 0.2500 0.2500 1
```


A relaxed structure of VGa4Ir5, computed with PBE.

Total magnetic moment ... 0.0 Bohr magnetons per cell
N(E_F) ... 4.3 states/eV/cell
Final energy ... -6.97 eV/atom
Calculated volume ... 14.22 Å³/atom

Geometry as CIF:
```
data_VGa4Ir5
_cell_length_a 2.9291
_cell_length_b 2.9291
_cell_length_c 16.5721
_cell_angle_alpha 90.00
_cell_angle_beta 90.00
_cell_angle_gamma 90.00
_symmetry_space_group_name_H-M 'P 4/m m m'
_symmetry_Int_Tables_number 123
_symmetry_space_group_name_Hall '-P 4 2'
loop_
_atom_site_label
_atom_site_type_symbol
_atom_site_fract_x
_atom_site_fract_y
_atom_site_fract_z
_atom_site_occupancy
V1 V 0.0000 0.0000 0.0000 1
Ga1 Ga 0.0000 0.0000 0.2039 1
Ga2 Ga 0.0000 0.0000 0.4011 1
Ir1 Ir 0.5000 0.5000 0.1053 1
Ir2 Ir 0.5000 0.5000 0.3022 1
Ir3 Ir 0.5000 0.5000 0.5000 1
```


A relaxed structure of Ce2PmTh, computed with PBE.

Total magnetic moment ... 7.9 Bohr magnetons per cell
N(E_F) ... 68.0 states/eV/cell
Final energy ... -5.74 eV/atom
Calculated volume ... 31.13 Å³/atom

Geometry as CIF:
```
data_Ce2PmTh
_cell_length_a 7.9270
_cell_length_b 7.9270
_cell_length_c 7.9270
_cell_angle_alpha 90.00
_cell_angle_beta 90.00
_cell_angle_gamma 90.00
_symmetry_space_group_name_H-M 'F m -3 m'
_symmetry_Int_Tables_number 225
_symmetry_space_group_name_Hall '-F 4 2 3'
loop_
_atom_site_label
_atom_site_type_symbol
_atom_site_fract_x
_atom_site_fract_y
_atom_site_fract_z
_atom_site_occupancy
Ce1 Ce 0.2500 0.2500 0.2500 1
Pm1 Pm 0.0000 0.0000 0.0000 1
Th1 Th 0.0000 0.0000 0.5000 1
```


A relaxed structure of Th6Hg3OsC2, computed with PBE.

Total magnetic moment ... 0.0 Bohr magnetons per cell
N(E_F) ... 21.7 states/eV/cell
Final energy ... -6.53 eV/atom
Calculated volume ... 26.26 Å³/atom

Geometry as CIF:
```
data_Th6Hg3OsC2
_cell_length_a 19.4656
_cell_length_b 3.8497
_cell_length_c 9.3068
_cell_angle_alpha 90.00
_cell_angle_beta 115.37
_cell_angle_gamma 90.00
_symmetry_space_group_name_H-M 'C 1 2/m 1'
_symmetry_Int_Tables_number 12
_symmetry_space_group_name_Hall '-C 2y'
loop_
_atom_site_label
_atom_site_type_symbol
_atom_site_fract_x
_atom_site_fract_y
_atom_site_fract_z
_atom_site_occupancy
Th1 Th 0.0206 0.0000 0.2340 1
Th2 Th 0.1606 0.5000 0.1481 1
Th3 Th 0.1853 0.5000 0.5515 1
Hg1 Hg 0.0000 0.5000 0.5000 1
Hg2 Hg 0.1666 0.0000 0.8485 1
Os1 Os 0.0000 0.5000 0.0000 1
C1 C 0.1692 0.0000 0.3446 1
```


A relaxed structure of Ce2NdMg, computed with PBE.

Total magnetic moment ... 1.9 Bohr magnetons per cell
N(E_F) ... 10.8 states/eV/cell
Final energy ... -4.45 eV/atom
Calculated volume ... 29.27 Å³/atom

Geometry as CIF:
```
data_Ce2NdMg
_cell_length_a 3.3523
_cell_length_b 3.3523
_cell_length_c 10.4184
_cell_angle_alpha 90.00
_cell_angle_beta 90.00
_cell_angle_gamma 90.00
_symmetry_space_group_name_H-M 'P 4/m m m'
_symmetry_Int_Tables_number 123
_symmetry_space_group_name_Hall '-P 4 2'
loop_
_atom_site_label
_atom_site_type_symbol
_atom_site_fract_x
_atom_site_fract_y
_atom_site_fract_z
_atom_site_occupancy
Ce1 Ce 0.0000 0.0000 0.2381 1
Nd1 Nd 0.5000 0.5000 0.5000 1
Mg1 Mg 0.5000 0.5000 0.0000 1
```


A relaxed structure of SmGa6, computed with PBE.

Total magnetic moment ... 0.0 Bohr magnetons per cell
N(E_F) ... 12.7 states/eV/cell
Final energy ... -2.89 eV/atom
Calculated volume ... 41.74 Å³/atom

Geometry as CIF:
```
data_SmGa6
_cell_length_a 8.4393
_cell_length_b 8.4393
_cell_length_c 8.2040
_cell_angle_alpha 90.00
_cell_angle_beta 90.00
_cell_angle_gamma 90.00
_symmetry_space_group_name_H-M 'P 4/m m m'
_symmetry_Int_Tables_number 123
_symmetry_space_group_name_Hall '-P 4 2'
loop_
_atom_site_label
_atom_site_type_symbol
_atom_site_fract_x
_atom_site_fract_y
_atom_site_fract_z
_atom_site_occupancy
Sm1 Sm 0.0000 0.5000 0.0000 1
Ga1 Ga 0.0000 0.2148 0.1940 1
Ga2 Ga 0.0000 0.5000 0.3506 1
```


A relaxed structure of YMg2Se, computed with PBE.

Total magnetic moment ... 0.0 Bohr magnetons per cell
N(E_F) ... 2.5 states/eV/cell
Final energy ... -3.94 eV/atom
Calculated volume ... 24.44 Å³/atom

Geometry as CIF:
```
data_YMg2Se
_cell_length_a 3.9723
_cell_length_b 3.8123
_cell_length_c 6.7303
_cell_angle_alpha 90.00
_cell_angle_beta 106.45
_cell_angle_gamma 90.00
_symmetry_space_group_name_H-M 'P 1 m 1'
_symmetry_Int_Tables_number 6
_symmetry_space_group_name_Hall 'P -2y'
loop_
_atom_site_label
_atom_site_type_symbol
_atom_site_fract_x
_atom_site_fract_y
_atom_site_fract_z
_atom_site_occupancy
Y1 Y 0.0000 0.0000 0.0000 1
Mg1 Mg 0.3491 0.5000 0.6922 1
Mg2 Mg 0.7477 0.0000 0.4827 1
Se1 Se 0.5685 0.5000 0.1399 1
```


A relaxed structure of DyCd2Pd, computed with PBE.

Total magnetic moment ... 0.0 Bohr magnetons per cell
N(E_F) ... 17.8 states/eV/cell
Final energy ... -3.27 eV/atom
Calculated volume ... 20.99 Å³/atom

Geometry as CIF:
```
data_DyCd2Pd
_cell_length_a 6.9514
_cell_length_b 6.9514
_cell_length_c 6.9514
_cell_angle_alpha 90.00
_cell_angle_beta 90.00
_cell_angle_gamma 90.00
_symmetry_space_group_name_H-M 'F m -3 m'
_symmetry_Int_Tables_number 225
_symmetry_space_group_name_Hall '-F 4 2 3'
loop_
_atom_site_label
_atom_site_type_symbol
_atom_site_fract_x
_atom_site_fract_y
_atom_site_fract_z
_atom_site_occupancy
Dy1 Dy 0.0000 0.0000 0.0000 1
Cd1 Cd 0.2500 0.2500 0.2500 1
Pd1 Pd 0.0000 0.0000 0.5000 1
```


A relaxed structure of HoHf2Sc6, computed with PBE.

Total magnetic moment ... 1.8 Bohr magnetons per cell
N(E_F) ... 15.0 states/eV/cell
Final energy ... -6.89 eV/atom
Calculated volume ... 24.78 Å³/atom

Geometry as CIF:
```
data_HoHf2Sc6
_cell_length_a 3.2896
_cell_length_b 3.2896
_cell_length_c 23.7937
_cell_angle_alpha 90.00
_cell_angle_beta 90.00
_cell_angle_gamma 120.00
_symmetry_space_group_name_H-M 'P -6 m 2'
_symmetry_Int_Tables_number 187
_symmetry_space_group_name_Hall 'P -6 2'
loop_
_atom_site_label
_atom_site_type_symbol
_atom_site_fract_x
_atom_site_fract_y
_atom_site_fract_z
_atom_site_occupancy
Ho1 Ho 0.0000 0.0000 0.0000 1
Hf1 Hf 0.3333 0.6667 0.3324 1
Sc1 Sc 0.0000 0.0000 0.2270 1
Sc2 Sc 0.0000 0.0000 0.4357 1
Sc3 Sc 0.3333 0.6667 0.1168 1
```


A relaxed structure of Ho8Te4PdPt3, computed with PBE.

Total magnetic moment ... 0.0 Bohr magnetons per cell
N(E_F) ... 25.0 states/eV/cell
Final energy ... -5.75 eV/atom
Calculated volume ... 26.87 Å³/atom

Geometry as CIF:
```
data_Ho8Te4PdPt3
_cell_length_a 8.2512
_cell_length_b 8.2512
_cell_length_c 21.8782
_cell_angle_alpha 90.00
_cell_angle_beta 90.00
_cell_angle_gamma 120.00
_symmetry_space_group_name_H-M 'R -3 m'
_symmetry_Int_Tables_number 166
_symmetry_space_group_name_Hall '-R 3 2"'
loop_
_atom_site_label
_atom_site_type_symbol
_atom_site_fract_x
_atom_site_fract_y
_atom_site_fract_z
_atom_site_occupancy
Ho1 Ho 0.0000 0.0000 0.2372 1
Ho2 Ho 0.0035 0.5018 0.7625 1
Te1 Te 0.0000 0.0000 0.0000 1
Te2 Te 0.0000 0.5000 0.0000 1
Pd1 Pd 0.0000 0.0000 0.5000 1
Pt1 Pt 0.0000 0.5000 0.5000 1
```


A relaxed structure of Ti2GaH, computed with PBE.

Total magnetic moment ... 0.0 Bohr magnetons per cell
N(E_F) ... 8.3 states/eV/cell
Final energy ... -5.91 eV/atom
Calculated volume ... 12.69 Å³/atom

Geometry as CIF:
```
data_Ti2GaH
_cell_length_a 4.1858
_cell_length_b 13.9235
_cell_length_c 3.4837
_cell_angle_alpha 90.00
_cell_angle_beta 90.00
_cell_angle_gamma 90.00
_symmetry_space_group_name_H-M 'C m m m'
_symmetry_Int_Tables_number 65
_symmetry_space_group_name_Hall '-C 2 2'
loop_
_atom_site_label
_atom_site_type_symbol
_atom_site_fract_x
_atom_site_fract_y
_atom_site_fract_z
_atom_site_occupancy
Ti1 Ti 0.0000 0.0000 0.0000 1
Ti2 Ti 0.0000 0.1819 0.5000 1
Ti3 Ti 0.0000 0.5000 0.5000 1
Ga1 Ga 0.0000 0.3473 0.0000 1
H1 H 0.0000 0.0550 0.5000 1
```


A relaxed structure of YCrTc2, computed with PBE.

Total magnetic moment ... 1.2 Bohr magnetons per cell
N(E_F) ... 4.0 states/eV/cell
Final energy ... -8.81 eV/atom
Calculated volume ... 16.62 Å³/atom

Geometry as CIF:
```
data_YCrTc2
_cell_length_a 3.1836
_cell_length_b 4.5083
_cell_length_c 4.6330
_cell_angle_alpha 90.00
_cell_angle_beta 90.00
_cell_angle_gamma 90.00
_symmetry_space_group_name_H-M 'P m m m'
_symmetry_Int_Tables_number 47
_symmetry_space_group_name_Hall '-P 2 2'
loop_
_atom_site_label
_atom_site_type_symbol
_atom_site_fract_x
_atom_site_fract_y
_atom_site_fract_z
_atom_site_occupancy
Y1 Y 0.0000 0.0000 0.0000 1
Cr1 Cr 0.5000 0.0000 0.5000 1
Tc1 Tc 0.0000 0.5000 0.5000 1
Tc2 Tc 0.5000 0.5000 0.0000 1
```


A relaxed structure of RbNa3Sb, computed with PBE.

Total magnetic moment ... 0.0 Bohr magnetons per cell
N(E_F) ... 3.1 states/eV/cell
Final energy ... -1.25 eV/atom
Calculated volume ... 41.70 Å³/atom

Geometry as CIF:
```
data_RbNa3Sb
_cell_length_a 5.9299
_cell_length_b 5.9299
_cell_length_c 5.9299
_cell_angle_alpha 90.00
_cell_angle_beta 90.00
_cell_angle_gamma 90.00
_symmetry_space_group_name_H-M 'P m -3 m'
_symmetry_Int_Tables_number 221
_symmetry_space_group_name_Hall '-P 4 2 3'
loop_
_atom_site_label
_atom_site_type_symbol
_atom_site_fract_x
_atom_site_fract_y
_atom_site_fract_z
_atom_site_occupancy
Rb1 Rb 0.0000 0.0000 0.0000 1
Na1 Na 0.0000 0.0000 0.5000 1
Sb1 Sb 0.5000 0.5000 0.5000 1
```


A relaxed structure of TbPm6, computed with PBE.

Total magnetic moment ... 0.0 Bohr magnetons per cell
N(E_F) ... 17.6 states/eV/cell
Final energy ... -4.49 eV/atom
Calculated volume ... 35.04 Å³/atom

Geometry as CIF:
```
data_TbPm6
_cell_length_a 6.5989
_cell_length_b 6.5989
_cell_length_c 11.2661
_cell_angle_alpha 90.00
_cell_angle_beta 90.00
_cell_angle_gamma 90.00
_symmetry_space_group_name_H-M 'P 4/n b m'
_symmetry_Int_Tables_number 125
loop_
_symmetry_equiv_pos_as_xyz
'x,y,z'
'-x,-y,-z'
'-y+1/2,x,z'
'y+1/2,-x,-z'
'-x+1/2,-y+1/2,z'
'x+1/2,y+1/2,-z'
'y,-x+1/2,z'
'-y,x+1/2,-z'
'x,-y+1/2,-z'
'-x,y+1/2,z'
'-y+1/2,-x+1/2,-z'
'y+1/2,x+1/2,z'
'-x+1/2,y,-z'
'x+1/2,-y,z'
'y,x,-z'
'-y,-x,z'
loop_
_atom_site_label
_atom_site_type_symbol
_atom_site_fract_x
_atom_site_fract_y
_atom_site_fract_z
_atom_site_occupancy
Tb1 Tb 0.2500 0.7500 0.0000 1
Pm1 Pm 0.0821 0.5821 0.3607 1
Pm2 Pm 0.2500 0.2500 0.1374 1
```


A relaxed structure of Ce2DyErS4, computed with PBE.

Total magnetic moment ... 1.6 Bohr magnetons per cell
N(E_F) ... 10.8 states/eV/cell
Final energy ... -6.71 eV/atom
Calculated volume ... 21.88 Å³/atom

Geometry as CIF:
```
data_Ce2DyErS4
_cell_length_a 6.8109
_cell_length_b 3.9258
_cell_length_c 6.9295
_cell_angle_alpha 90.00
_cell_angle_beta 109.11
_cell_angle_gamma 90.00
_symmetry_space_group_name_H-M 'P 1 2/m 1'
_symmetry_Int_Tables_number 10
_symmetry_space_group_name_Hall '-P 2y'
loop_
_atom_site_label
_atom_site_type_symbol
_atom_site_fract_x
_atom_site_fract_y
_atom_site_fract_z
_atom_site_occupancy
Ce1 Ce 0.0000 0.0000 0.0000 1
Ce2 Ce 0.5000 0.5000 0.0000 1
Dy1 Dy 0.0000 0.5000 0.5000 1
Er1 Er 0.5000 0.0000 0.5000 1
S1 S 0.2475 0.0000 0.7368 1
S2 S 0.2567 0.5000 0.2645 1
```


A relaxed structure of ScBeOs2, computed with PBE.

Total magnetic moment ... 0.0 Bohr magnetons per cell
N(E_F) ... 6.7 states/eV/cell
Final energy ... -8.21 eV/atom
Calculated volume ... 14.22 Å³/atom

Geometry as CIF:
```
data_ScBeOs2
_cell_length_a 8.9129
_cell_length_b 2.9305
_cell_length_c 4.6947
_cell_angle_alpha 90.00
_cell_angle_beta 111.91
_cell_angle_gamma 90.00
_symmetry_space_group_name_H-M 'C 1 2/m 1'
_symmetry_Int_Tables_number 12
_symmetry_space_group_name_Hall '-C 2y'
loop_
_atom_site_label
_atom_site_type_symbol
_atom_site_fract_x
_atom_site_fract_y
_atom_site_fract_z
_atom_site_occupancy
Sc1 Sc 0.0000 0.0000 0.0000 1
Be1 Be 0.0000 0.5000 0.5000 1
Os1 Os 0.2201 0.0000 0.7086 1
```


A relaxed structure of HoHfAsP, computed with PBE.

Total magnetic moment ... 0.0 Bohr magnetons per cell
N(E_F) ... 6.6 states/eV/cell
Final energy ... -7.43 eV/atom
Calculated volume ... 21.12 Å³/atom

Geometry as CIF:
```
data_HoHfAsP
_cell_length_a 3.8232
_cell_length_b 3.8232
_cell_length_c 20.0188
_cell_angle_alpha 90.00
_cell_angle_beta 90.00
_cell_angle_gamma 120.00
_symmetry_space_group_name_H-M 'R 3 m'
_symmetry_Int_Tables_number 160
_symmetry_space_group_name_Hall 'R 3 -2"'
loop_
_atom_site_label
_atom_site_type_symbol
_atom_site_fract_x
_atom_site_fract_y
_atom_site_fract_z
_atom_site_occupancy
Ho1 Ho 0.0000 0.0000 0.0000 1
Hf1 Hf 0.0000 0.0000 0.1799 1
As1 As 0.0000 0.0000 0.7629 1
P1 P 0.0000 0.0000 0.5826 1
```


A relaxed structure of Zn3N2, computed with PBE.

Total magnetic moment ... 0.0 Bohr magnetons per cell
N(E_F) ... 0.4 states/eV/cell
Final energy ... -3.97 eV/atom
Calculated volume ... 12.14 Å³/atom

Geometry as CIF:
```
data_Zn3N2
_cell_length_a 3.4108
_cell_length_b 3.4108
_cell_length_c 12.0518
_cell_angle_alpha 90.00
_cell_angle_beta 90.00
_cell_angle_gamma 120.00
_symmetry_space_group_name_H-M 'P 63/m m c'
_symmetry_Int_Tables_number 194
_symmetry_space_group_name_Hall '-P 6c 2c'
loop_
_atom_site_label
_atom_site_type_symbol
_atom_site_fract_x
_atom_site_fract_y
_atom_site_fract_z
_atom_site_occupancy
Zn1 Zn 0.0000 0.0000 0.2500 1
Zn2 Zn 0.3333 0.6667 0.0790 1
N1 N 0.0000 0.0000 0.0000 1
N2 N 0.3333 0.6667 0.2500 1
```


A relaxed structure of LaPm4In2, computed with PBE.

Total magnetic moment ... 0.0 Bohr magnetons per cell
N(E_F) ... 17.7 states/eV/cell
Final energy ... -4.13 eV/atom
Calculated volume ... 32.57 Å³/atom

Geometry as CIF:
```
data_LaPm4In2
_cell_length_a 6.0179
_cell_length_b 6.0179
_cell_length_c 12.5903
_cell_angle_alpha 90.00
_cell_angle_beta 90.00
_cell_angle_gamma 90.00
_symmetry_space_group_name_H-M 'I 4/m m m'
_symmetry_Int_Tables_number 139
_symmetry_space_group_name_Hall '-I 4 2'
loop_
_atom_site_label
_atom_site_type_symbol
_atom_site_fract_x
_atom_site_fract_y
_atom_site_fract_z
_atom_site_occupancy
La1 La 0.0000 0.0000 0.0000 1
Pm1 Pm 0.0000 0.5000 0.0000 1
Pm2 Pm 0.0000 0.5000 0.2500 1
In1 In 0.0000 0.0000 0.3735 1
```